A PBEsol-optimized structure of CaReSb2. Source: Alexandria, functional SCAN.

Output
The value obtained for the formation energy (no corrections) is 0.240 eV/atom. As for the calculated volume: 93.1 Å³/cell. The value obtained for the mass density is 8.38 Mg/m³. The value obtained for the excess energy over the best structure of this formula in the dataset is 0 meV/atom.

abc: 3.312 3.312 8.489
angles: 90.00 90.00 90.00
Fractional positions:
Re  0.500  0.500  0.779
Ca  0.000  0.000  0.537
Sb  0.000  0.000  0.934
Sb  0.500  0.500  0.250


A PBEsol-optimized structure of Cr2NiOs. Source: Alexandria, functional SCAN.

Output
As for the energy of formation from the pure elements: 0.2 kcal/mol of atoms. As for the calculated volume: 46.8 Å³/cell. The value obtained for the mass density is 12.51 Mg/m³.

abc: 3.618 3.618 4.398
angles: 114.29 114.29 90.00
Fractional positions:
Ni  0.000  0.000  0.000
Os  0.500  0.500  0.000
Cr  0.750  0.250  0.500
Cr  0.250  0.750  0.500


A PBEsol-optimized structure of FeReAg3. Source: Alexandria, functional SCAN.

Output
As for the energy of formation from the pure elements: 42.8 kcal/mol of atoms. As for the calculated volume: 96.4 Å³/cell. The value obtained for the mass density is 9.74 Mg/m³.

abc: 4.585 4.585 4.585
angles: 90.00 90.00 90.00
Fractional positions:
Re  0.500  0.500  0.500
Fe  0.000  0.000  0.000
Ag  0.000  0.500  0.000
Ag  0.000  0.000  0.500
Ag  0.500  0.000  0.000


A PBEsol-optimized structure of Ta3W. Source: Alexandria, functional SCAN.

Output
As for the energy of formation from the pure elements: -1.0 kcal/mol of atoms. As for the calculated volume: 68.1 Å³/cell. The value obtained for the mass density is 17.72 Mg/m³.

abc: 4.584 4.584 4.584
angles: 60.00 60.00 60.00
Fractional positions:
W  0.000  0.000  0.000
Ta  0.250  0.250  0.250
Ta  0.750  0.750  0.750
Ta  0.500  0.500  0.500


A PBEsol-optimized structure of La2MgAs. Source: Alexandria, functional SCAN.

Output
As for the energy of formation from the pure elements: -11.6 kcal/mol of atoms. As for the calculated volume: 237.4 Å³/cell. The value obtained for the mass density is 5.27 Mg/m³.

abc: 6.572 6.850 6.850
angles: 76.70 61.34 61.34
Fractional positions:
As  0.000  0.000  0.000
As  0.750  0.500  0.500
Mg  0.500  0.000  0.000
Mg  0.250  0.500  0.500
La  0.661  0.964  0.464
La  0.089  0.036  0.536
La  0.375  0.536  0.964
La  0.875  0.464  0.036


A PBEsol-optimized structure of CsGa3I. Source: Alexandria, functional SCAN.

Output
The value obtained for the formation energy (no corrections) is 0.432 eV/atom. As for the calculated volume: 210.3 Å³/cell. The value obtained for the mass density is 3.70 Mg/m³.

abc: 5.946 5.946 5.946
angles: 90.00 90.00 90.00
Fractional positions:
Cs  0.500  0.500  0.500
I  0.000  0.000  0.000
Ga  0.000  0.500  0.000
Ga  0.000  0.000  0.500
Ga  0.500  0.000  0.000


A PBEsol-optimized structure of ZrSc8. Source: Alexandria, functional SCAN.

Output
As for the energy of formation from the pure elements: 1.5 kcal/mol of atoms. As for the calculated volume: 208.5 Å³/cell. The value obtained for the mass density is 3.59 Mg/m³.

abc: 4.514 7.161 7.161
angles: 84.30 71.63 71.63
Fractional positions:
Sc  0.338  0.000  0.325
Sc  0.662  0.000  0.675
Sc  0.671  0.329  0.329
Sc  0.338  0.325  0.000
Sc  0.000  0.329  0.671
Sc  0.662  0.675  0.000
Sc  0.329  0.671  0.671
Sc  0.000  0.671  0.329
Zr  0.000  0.000  0.000


A PBEsol-optimized structure of C2SeClF. Source: Alexandria, functional SCAN.

Output
The value obtained for the formation energy (no corrections) is 2.447 eV/atom. As for the calculated volume: 75.1 Å³/cell. The value obtained for the mass density is 3.48 Mg/m³.

abc: 3.749 3.749 5.342
angles: 90.00 90.00 90.00
Fractional positions:
C  0.000  0.500  0.000
C  0.500  0.000  0.000
F  0.000  0.000  0.000
Se  0.500  0.500  0.500
Cl  0.000  0.000  0.500


A PBEsol-optimized structure of Tb3Ga9Pt2. Source: Alexandria, functional SCAN.

Output
As for the energy of formation from the pure elements: -19.1 kcal/mol of atoms. As for the calculated volume: 250.1 Å³/cell. The value obtained for the mass density is 9.92 Mg/m³.

abc: 4.157 8.111 8.111
angles: 75.10 75.15 75.15
Fractional positions:
Tb  0.000  0.000  0.000
Tb  0.677  0.323  0.323
Tb  0.323  0.677  0.677
Ga  0.000  0.500  0.500
Ga  0.668  0.957  0.707
Ga  0.332  0.043  0.293
Ga  0.668  0.707  0.957
Ga  0.332  0.293  0.043
Ga  0.870  0.851  0.409
Ga  0.130  0.149  0.591
Ga  0.870  0.409  0.851
Ga  0.130  0.591  0.149
Pt  0.500  0.274  0.726
Pt  0.500  0.726  0.274


A PBEsol-optimized structure of BeBi3Rh. Source: Alexandria, functional SCAN.

Output
As for the energy of formation from the pure elements: 19.5 kcal/mol of atoms. As for the calculated volume: 142.7 Å³/cell. The value obtained for the mass density is 8.60 Mg/m³.

abc: 5.225 5.225 5.225
angles: 90.00 90.00 90.00
Fractional positions:
Be  0.500  0.500  0.500
Rh  0.000  0.000  0.000
Bi  0.000  0.500  0.000
Bi  0.000  0.000  0.500
Bi  0.500  0.000  0.000


A PBEsol-optimized structure of Ti2Si2Ni. Source: Alexandria, functional SCAN.

Output
The value obtained for the formation energy (no corrections) is -0.771 eV/atom. As for the calculated volume: 135.7 Å³/cell. The value obtained for the mass density is 5.16 Mg/m³.

abc: 3.842 5.943 5.943
angles: 90.00 90.00 90.00
Fractional positions:
Ni  0.000  0.000  0.000
Ni  0.000  0.500  0.500
Si  0.000  0.361  0.861
Si  0.000  0.861  0.639
Si  0.000  0.639  0.139
Si  0.000  0.139  0.361
Ti  0.500  0.167  0.667
Ti  0.500  0.667  0.833
Ti  0.500  0.833  0.333
Ti  0.500  0.333  0.167


A PBEsol-optimized structure of CuSiAg. Source: Alexandria, functional SCAN.

Output
The value obtained for the formation energy (no corrections) is 0.221 eV/atom. As for the calculated volume: 47.0 Å³/cell. The value obtained for the mass density is 7.05 Mg/m³. The value obtained for the excess energy over the best structure of this formula in the dataset is 0 meV/atom.

abc: 4.051 4.051 4.051
angles: 60.00 60.00 60.00
Fractional positions:
Ag  0.000  0.000  0.000
Cu  0.500  0.500  0.500
Si  0.250  0.250  0.250


A PBEsol-optimized structure of Ca2CrHg. Source: Alexandria, functional SCAN.

Output
As for the energy of formation from the pure elements: -2.1 kcal/mol of atoms. As for the calculated volume: 97.3 Å³/cell. The value obtained for the mass density is 5.68 Mg/m³.

abc: 4.674 4.674 5.547
angles: 114.92 114.92 90.00
Fractional positions:
Cr  0.500  0.500  0.000
Ca  0.000  0.000  0.000
Ca  0.750  0.250  0.500
Hg  0.250  0.750  0.500


A PBEsol-optimized structure of TcAg. Source: Alexandria, functional SCAN.

Output
As for the energy of formation from the pure elements: 12.2 kcal/mol of atoms. As for the calculated volume: 63.6 Å³/cell. The value obtained for the mass density is 10.75 Mg/m³. The value obtained for the excess energy over the best structure of this formula in the dataset is 271 meV/atom.

abc: 2.689 3.916 6.188
angles: 90.00 102.55 90.00
Fractional positions:
Ag  0.572  0.750  0.144
Ag  0.428  0.250  0.856
Tc  0.795  0.750  0.590
Tc  0.205  0.250  0.410


A PBEsol-optimized structure of BaBe2Mo. Source: Alexandria, functional SCAN.

Output
As for the energy of formation from the pure elements: 12.2 kcal/mol of atoms. As for the calculated volume: 75.9 Å³/cell. The value obtained for the mass density is 5.50 Mg/m³. The value obtained for the excess energy over the best structure of this formula in the dataset is 0 meV/atom.

abc: 3.803 3.803 6.445
angles: 72.84 72.84 60.00
Fractional positions:
Be  0.063  0.063  0.812
Be  0.734  0.734  0.798
Mo  0.450  0.450  0.650
Ba  0.253  0.253  0.240


A PBEsol-optimized structure of Be2SiAs. Source: Alexandria, functional SCAN.

Output
The value obtained for the formation energy (no corrections) is 0.453 eV/atom. As for the calculated volume: 52.2 Å³/cell. The value obtained for the mass density is 3.85 Mg/m³. The value obtained for the excess energy over the best structure of this formula in the dataset is 290 meV/atom.

abc: 3.349 3.283 5.292
angles: 108.07 108.45 90.00
Fractional positions:
Be  0.005  0.005  0.011
Be  0.810  0.310  0.621
As  0.200  0.700  0.401
Si  0.484  0.484  0.968


A PBEsol-optimized structure of TaReAg2. Source: Alexandria, functional SCAN.

Output
As for the energy of formation from the pure elements: 9.6 kcal/mol of atoms. As for the calculated volume: 63.8 Å³/cell. The value obtained for the mass density is 15.17 Mg/m³. The value obtained for the excess energy over the best structure of this formula in the dataset is 144 meV/atom.

abc: 3.777 3.777 5.209
angles: 111.26 111.26 90.00
Fractional positions:
Re  0.500  0.500  0.000
Ag  0.750  0.250  0.500
Ag  0.250  0.750  0.500
Ta  0.000  0.000  0.000


A PBEsol-optimized structure of Sr2RhPb. Source: Alexandria, functional SCAN.

Output
As for the energy of formation from the pure elements: -6.2 kcal/mol of atoms. As for the calculated volume: 106.1 Å³/cell. The value obtained for the mass density is 7.59 Mg/m³.

abc: 4.892 5.624 4.892
angles: 115.78 90.00 115.78
Fractional positions:
Pb  0.500  0.000  0.500
Rh  0.000  0.000  0.000
Sr  0.750  0.500  0.250
Sr  0.250  0.500  0.750


A PBEsol-optimized structure of CaFeF5. Source: Alexandria, functional SCAN.

Output
The value obtained for the formation energy (no corrections) is -3.234 eV/atom. As for the calculated volume: 201.8 Å³/cell. The value obtained for the mass density is 3.14 Mg/m³.

abc: 5.549 5.549 7.653
angles: 69.69 69.69 71.26
Fractional positions:
Ca  0.546  0.454  0.750
Ca  0.454  0.546  0.250
Fe  0.000  0.000  0.000
Fe  0.000  0.000  0.500
F  0.084  0.916  0.250
F  0.916  0.084  0.750
F  0.210  0.250  0.381
F  0.750  0.790  0.119
F  0.714  0.309  0.031
F  0.691  0.286  0.469
F  0.286  0.691  0.969
F  0.309  0.714  0.531
F  0.250  0.210  0.881
F  0.790  0.750  0.619


A PBEsol-optimized structure of FeAs4. Source: Alexandria, functional SCAN.

Output
As for the energy of formation from the pure elements: 10.6 kcal/mol of atoms. As for the calculated volume: 98.1 Å³/cell. The value obtained for the mass density is 6.02 Mg/m³.

abc: 5.135 5.197 5.135
angles: 60.39 90.00 119.61
Fractional positions:
As  0.750  0.500  0.750
As  0.250  0.500  0.250
As  0.680  0.359  0.320
As  0.320  0.641  0.680
Fe  0.000  0.000  0.000


A PBEsol-optimized structure of Mg2MoPt. Source: Alexandria, functional SCAN.

Output
As for the energy of formation from the pure elements: -3.4 kcal/mol of atoms. As for the calculated volume: 65.8 Å³/cell. The value obtained for the mass density is 8.57 Mg/m³. The value obtained for the excess energy over the best structure of this formula in the dataset is 0 meV/atom.

abc: 2.832 3.943 5.891
angles: 90.00 90.00 90.00
Fractional positions:
Mg  0.000  0.000  0.988
Mg  0.500  0.500  0.257
Mo  0.000  0.000  0.519
Pt  0.500  0.500  0.736


A PBEsol-optimized structure of Mg2C. Source: Alexandria, functional SCAN.

Output
As for the energy of formation from the pure elements: 6.7 kcal/mol of atoms. As for the calculated volume: 92.6 Å³/cell. The value obtained for the mass density is 2.17 Mg/m³. The value obtained for the excess energy over the best structure of this formula in the dataset is 0 meV/atom.

abc: 3.117 5.955 5.955
angles: 61.58 74.83 74.83
Fractional positions:
Mg  0.000  0.765  0.235
Mg  0.251  0.249  0.249
Mg  0.000  0.235  0.765
Mg  0.749  0.751  0.751
C  0.571  0.429  0.429
C  0.429  0.571  0.571


A PBEsol-optimized structure of Y3Hg. Source: Alexandria, functional SCAN.

Output
As for the energy of formation from the pure elements: -9.1 kcal/mol of atoms. As for the calculated volume: 110.4 Å³/cell. The value obtained for the mass density is 7.03 Mg/m³.

abc: 3.739 5.245 6.487
angles: 113.85 106.75 90.00
Fractional positions:
Y  0.281  0.865  0.563
Y  0.500  0.583  0.000
Y  0.719  0.302  0.437
Hg  0.000  0.083  0.000


A PBEsol-optimized structure of HgAs2Pb. Source: Alexandria, functional SCAN.

Output
As for the energy of formation from the pure elements: 3.3 kcal/mol of atoms. As for the calculated volume: 94.6 Å³/cell. The value obtained for the mass density is 9.79 Mg/m³. The value obtained for the excess energy over the best structure of this formula in the dataset is 78 meV/atom.

abc: 3.589 5.312 5.908
angles: 116.71 107.68 90.00
Fractional positions:
Pb  0.246  0.746  0.492
As  0.051  0.051  0.103
As  0.729  0.229  0.458
Hg  0.474  0.474  0.947


A PBEsol-optimized structure of HfHgN3. Source: Alexandria, functional SCAN.

Output
The value obtained for the formation energy (no corrections) is 1.716 eV/atom. As for the calculated volume: 64.3 Å³/cell. The value obtained for the mass density is 10.87 Mg/m³.

abc: 4.007 4.007 4.007
angles: 90.00 90.00 90.00
Fractional positions:
Hf  0.500  0.500  0.500
Hg  0.000  0.000  0.000
N  0.000  0.500  0.000
N  0.000  0.000  0.500
N  0.500  0.000  0.000


A PBEsol-optimized structure of ZrSc2P2. Source: Alexandria, functional SCAN.

Output
As for the energy of formation from the pure elements: -30.5 kcal/mol of atoms. As for the calculated volume: 173.5 Å³/cell. The value obtained for the mass density is 4.65 Mg/m³.

abc: 3.589 6.952 6.952
angles: 90.00 90.00 90.00
Fractional positions:
Sc  0.500  0.160  0.660
Sc  0.500  0.660  0.840
Sc  0.500  0.840  0.340
Sc  0.500  0.340  0.160
P  0.000  0.358  0.858
P  0.000  0.858  0.642
P  0.000  0.642  0.142
P  0.000  0.142  0.358
Zr  0.000  0.000  0.000
Zr  0.000  0.500  0.500


A PBEsol-optimized structure of Sr2TlSb. Source: Alexandria, functional SCAN.

Output
The value obtained for the formation energy (no corrections) is -0.800 eV/atom. As for the calculated volume: 128.2 Å³/cell. The value obtained for the mass density is 6.49 Mg/m³.

abc: 4.176 4.176 7.352
angles: 90.00 90.00 90.00
Fractional positions:
Sb  0.500  0.500  0.500
Tl  0.500  0.500  0.000
Sr  0.000  0.000  0.733
Sr  0.000  0.000  0.267


A PBEsol-optimized structure of TlFeOs. Source: Alexandria, functional SCAN.

Output
As for the energy of formation from the pure elements: 23.0 kcal/mol of atoms. As for the calculated volume: 56.5 Å³/cell. The value obtained for the mass density is 13.23 Mg/m³. The value obtained for the excess energy over the best structure of this formula in the dataset is 163 meV/atom.

abc: 4.308 4.308 4.308
angles: 60.00 60.00 60.00
Fractional positions:
Fe  0.500  0.500  0.500
Os  0.250  0.250  0.250
Tl  0.000  0.000  0.000